# 1
VASP calculation (PBE-GGA) on a relaxed YTlFeW crystal.

As for the total energy: -6.680 eV per atom. For the total magnetic moment, the calculation gives 1.00 μB per atom. Its energy above the most stable polymorph in this dataset is 57 meV per atom. Its space group is F-43m.

Cell lengths 6.8095, 6.8095, 6.8095 Å; angles 90.00, 90.00, 90.00 degrees
Last column: nearest neighbours and their distance in Å.
Element x y z (fractional)
Y1 0.0000 0.0000 0.0000  4 Fe 2.95, 4 W 2.95
Y2 0.0000 0.5000 0.5000  4 W 2.95, 4 Fe 2.95
Y3 0.5000 0.0000 0.5000  4 W 2.95, 4 Fe 2.95
Y4 0.5000 0.5000 0.0000  4 W 2.95, 4 Fe 2.95
Tl1 0.0000 0.0000 0.5000  4 W 2.95, 4 Fe 2.95
Tl2 0.0000 0.5000 0.0000  4 W 2.95, 4 Fe 2.95
Tl3 0.5000 0.0000 0.0000  4 W 2.95, 4 Fe 2.95
Tl4 0.5000 0.5000 0.5000  4 W 2.95, 4 Fe 2.95
Fe1 0.2500 0.2500 0.7500  4 Tl 2.95, 4 Y 2.95
Fe2 0.2500 0.7500 0.2500  4 Tl 2.95, 4 Y 2.95
Fe3 0.7500 0.2500 0.2500  4 Tl 2.95, 4 Y 2.95
Fe4 0.7500 0.7500 0.7500  4 Tl 2.95, 4 Y 2.95
W1 0.2500 0.2500 0.2500  4 Tl 2.95, 4 Y 2.95
W2 0.2500 0.7500 0.7500  4 Tl 2.95, 4 Y 2.95
W3 0.7500 0.2500 0.7500  4 Tl 2.95, 4 Y 2.95
W4 0.7500 0.7500 0.2500  4 Tl 2.95, 4 Y 2.95

***

# 2
VASP calculation (PBE-GGA) on a relaxed TlZnFeW crystal.

As for the total energy: -5.326 eV per atom. For the total magnetic moment, the calculation gives 0.76 μB per atom. Its energy above the most stable polymorph in this dataset is 145 meV per atom. Its space group is F-43m.

Cell lengths 6.3924, 6.3924, 6.3924 Å; angles 90.00, 90.00, 90.00 degrees
Last column: nearest neighbours and their distance in Å.
Element x y z (fractional)
Tl1 0.0000 0.0000 0.0000  4 Fe 2.77, 4 W 2.77
Tl2 0.0000 0.5000 0.5000  4 Fe 2.77, 4 W 2.77
Tl3 0.5000 0.0000 0.5000  4 Fe 2.77, 4 W 2.77
Tl4 0.5000 0.5000 0.0000  4 Fe 2.77, 4 W 2.77
Zn1 0.0000 0.0000 0.5000  4 W 2.77, 4 Fe 2.77
Zn2 0.0000 0.5000 0.0000  4 W 2.77, 4 Fe 2.77
Zn3 0.5000 0.0000 0.0000  4 W 2.77, 4 Fe 2.77
Zn4 0.5000 0.5000 0.5000  4 W 2.77, 4 Fe 2.77
Fe1 0.2500 0.2500 0.2500  4 Tl 2.77, 4 Zn 2.77
Fe2 0.2500 0.7500 0.7500  4 Tl 2.77, 4 Zn 2.77
Fe3 0.7500 0.2500 0.7500  4 Tl 2.77, 4 Zn 2.77
Fe4 0.7500 0.7500 0.2500  4 Tl 2.77, 4 Zn 2.77
W1 0.2500 0.2500 0.7500  4 Tl 2.77, 4 Zn 2.77
W2 0.2500 0.7500 0.2500  4 Tl 2.77, 4 Zn 2.77
W3 0.7500 0.2500 0.2500  4 Tl 2.77, 4 Zn 2.77
W4 0.7500 0.7500 0.7500  4 Zn 2.77, 4 Tl 2.77

***

Repeat the first record exactly.
VASP calculation (PBE-GGA) on a relaxed YTlFeW crystal.

As for the total energy: -6.680 eV per atom. For the total magnetic moment, the calculation gives 1.00 μB per atom. Its energy above the most stable polymorph in this dataset is 57 meV per atom. Its space group is F-43m.

Cell lengths 6.8095, 6.8095, 6.8095 Å; angles 90.00, 90.00, 90.00 degrees
Last column: nearest neighbours and their distance in Å.
Element x y z (fractional)
Y1 0.0000 0.0000 0.0000  4 Fe 2.95, 4 W 2.95
Y2 0.0000 0.5000 0.5000  4 W 2.95, 4 Fe 2.95
Y3 0.5000 0.0000 0.5000  4 W 2.95, 4 Fe 2.95
Y4 0.5000 0.5000 0.0000  4 W 2.95, 4 Fe 2.95
Tl1 0.0000 0.0000 0.5000  4 W 2.95, 4 Fe 2.95
Tl2 0.0000 0.5000 0.0000  4 W 2.95, 4 Fe 2.95
Tl3 0.5000 0.0000 0.0000  4 W 2.95, 4 Fe 2.95
Tl4 0.5000 0.5000 0.5000  4 W 2.95, 4 Fe 2.95
Fe1 0.2500 0.2500 0.7500  4 Tl 2.95, 4 Y 2.95
Fe2 0.2500 0.7500 0.2500  4 Tl 2.95, 4 Y 2.95
Fe3 0.7500 0.2500 0.2500  4 Tl 2.95, 4 Y 2.95
Fe4 0.7500 0.7500 0.7500  4 Tl 2.95, 4 Y 2.95
W1 0.2500 0.2500 0.2500  4 Tl 2.95, 4 Y 2.95
W2 0.2500 0.7500 0.7500  4 Tl 2.95, 4 Y 2.95
W3 0.7500 0.2500 0.7500  4 Tl 2.95, 4 Y 2.95
W4 0.7500 0.7500 0.2500  4 Tl 2.95, 4 Y 2.95

***

- Among the records above, which one has the highest total magnetic moment?
  YTlFeW

***

- Which formula does entry 2 have?
  TlZnFeW

***

- Which value of total magnetic moment does entry 2 give?
  0.76 μB per atom